Compound: CsAsSeBr2
Source: the Alexandria database
Functional: PBE
Structure: relaxed

Cell: 5.9839 5.9839 4.9780 Å, 90.00 90.00 90.00°
Closest atoms and distances in Å follow each position.
Space group P4/mmm (No. 123)
Symmetry-distinct sites (fractional):
Cs 0.0000 0.0000 0.0000 (multiplicity 1)  8 Br 3.89, 4 As 4.23
As 0.5000 0.5000 0.0000 (multiplicity 1)  2 Se 2.49
Se 0.5000 0.5000 0.5000 (multiplicity 1)  2 As 2.49
Br 0.0000 0.5000 0.5000 (multiplicity 2)  2 Se 2.99

Properties
N(E_F): 2.57 states/eV per cell
energy above the most stable polymorph in this dataset: 338 meV/atom
magnetization: 0.00 μB/atom
energy: -2.822 eV per atom
E_form (uncorrected): -0.35 eV per atom